This record from the Alexandria database describes a relaxed CoReIr crystal. The functional is PBE.

The calculated formation energy comes out at -0.02 eV/atom. The energy above the most stable polymorph in this dataset is 66.2 meV/atom. Its total DFT energy (no corrections) is -9.494 eV/atom.

The structure belongs to space group I4mm (No. 107); the cell edges are 2.698, 2.698 and 11.035 Å and the angles 90.00°, 90.00° and 90.00°. Symmetry generates all atoms from Co at (0.000, 0.000, 0.000), Re at (0.000, 0.000, 0.656) and Ir at (0.000, 0.000, 0.330).